DFT (GGA-PBE) results for a relaxed structure of TiCdSi2P.

Unit cell a=4.531 b=4.888 c=4.531 alpha=90.00 beta=90.00 gamma=90.00
Sites, in units of the cell vectors:
Si 0.000 0.000 0.500
Ti 0.500 0.500 0.500
P 0.000 0.000 0.000
Si 0.500 0.000 0.000
Cd 0.000 0.500 0.000

Results
- ΔE_f (raw): 869 meV per atom
- Space-group type: No. 123
- Total energy: -4.145 eV/atom
- D(E_F): 1.31 states/eV per atom